No. 1
A plane-wave DFT calculation with meta-GGA SCAN was carried out for CrAsAu2 at its PBEsol-relaxed geometry.

As for the total magnetic moment: 3.80 μB per formula unit. Its formation energy is -46 meV/atom. The calculation puts the density of states at the Fermi level at 1.958 states/eV per cell. The calculation puts the raw total energy at -44.268 eV per atom.

The space group is Pmmm (No. 47) and the conventional cell measures 3.408, 3.679 and 5.379 Å, with angles of 90.00, 90.00 and 90.00 degrees. The distinct sites, in fractional coordinates, are Cr at (0.000, 0.000, 0.000), As at (0.000, 0.000, 0.500) and Au at (0.500, 0.500, 0.245).

=====

No. 2
A plane-wave DFT calculation with meta-GGA SCAN was carried out for Li2CaRe at its PBEsol-relaxed geometry.

As for the total magnetic moment: 2.22 μB per formula unit. Its formation energy is 825 meV/atom. The calculation puts the density of states at the Fermi level at 10.525 states/eV per cell. The calculation puts the raw total energy at -20.560 eV per atom.

The space group is Fm-3m (No. 225) and the conventional cell measures 6.556, 6.556 and 6.556 Å, with angles of 90.00, 90.00 and 90.00 degrees. The distinct sites, in fractional coordinates, are Li at (0.250, 0.250, 0.250), Ca at (0.000, 0.000, 0.000) and Re at (0.000, 0.000, 0.500).

=====

No. 3
A plane-wave DFT calculation with meta-GGA SCAN was carried out for ZnSnSb2 at its PBEsol-relaxed geometry.

As for the total magnetic moment: 0.00 μB per formula unit. The calculation puts the density of states at the Fermi level at 0.439 states/eV per cell. The calculation puts the raw total energy at -31.042 eV per atom. For the formation energy (no corrections), the calculation gives -0.053 eV per atom.

The space group is I-42d (No. 122) and the conventional cell measures 6.273, 6.273 and 12.599 Å, with angles of 90.00, 90.00 and 90.00 degrees. The distinct sites, in fractional coordinates, are Zn at (0.000, 0.000, 0.000), Sn at (0.000, 0.000, 0.500) and Sb at (0.222, 0.250, 0.125).

=====

No. 4
A plane-wave DFT calculation with meta-GGA SCAN was carried out for KCrF3 at its PBEsol-relaxed geometry.

As for the total magnetic moment: 4.00 μB per formula unit. The calculation puts the density of states at the Fermi level at 0.891 states/eV per cell. The calculation puts the raw total energy at -10.313 eV per atom. For the formation energy (no corrections), the calculation gives -2.847 eV per atom.

The space group is Pm-3m (No. 221) and the conventional cell measures 4.119, 4.119 and 4.119 Å, with angles of 90.00, 90.00 and 90.00 degrees. The distinct sites, in fractional coordinates, are K at (0.000, 0.000, 0.000), Cr at (0.500, 0.500, 0.500) and F at (0.000, 0.500, 0.500).